! TeSe PBE optimized geometry; values from VASP
! Uncorrected energy: -3.27 eV/atom
! Spin magnetization: 0.00 μB per cell
! Uncorrected formation energy: 0.95 kcal/mol of atoms
! Crystal system: orthorhombic
&SYSTEM
  ibrav = 0, nat = 16, ntyp = 2
/
ATOMIC_SPECIES
Te 127.60 Te.upf
Se 78.96 Se.upf
CELL_PARAMETERS angstrom
8.743 0.000 0.000
0.000 6.979 0.000
0.000 0.000 10.643
ATOMIC_POSITIONS angstrom
Te 7.721 6.976 5.981
Te 1.022 3.486 9.984
Te 2.432 6.720 3.747
Te 1.940 0.259 9.068
Te 6.803 3.749 6.896
Te 3.349 3.494 4.662
Te 6.312 3.230 1.574
Te 5.394 0.004 0.659
Se 2.641 4.779 8.490
Se 1.265 0.951 6.663
Se 3.107 6.029 1.342
Se 7.479 4.440 9.301
Se 7.012 5.690 2.153
Se 1.731 2.201 3.168
Se 6.103 1.289 7.474
Se 5.636 2.539 3.980